This record from the Alexandria database describes a relaxed structure of SrTcNi2. The functional is GGA-PBE.

Calculated values
Calculated formation energy ... 0.129 eV per atom
E above lowest polymorph ... 0 kJ/mol of formula units
DOS at the Fermi energy ... 0.7491 states/eV per atom

The structure in CIF format:
```
data_SrTcNi2
_space_group_name_H-M_alt 'R -3 m'
_space_group_IT_number 166
_space_group_name_Hall '-R 3 2"'
_cell_length_a 4.1582
_cell_length_b 4.1582
_cell_length_c 16.1424
_cell_angle_alpha 90.00
_cell_angle_beta 90.00
_cell_angle_gamma 120.00
loop_
_atom_site_label
_atom_site_type_symbol
_atom_site_fract_x
_atom_site_fract_y
_atom_site_fract_z
Sr1 Sr 0.0000 0.0000 0.0000
Tc1 Tc 0.0000 0.0000 0.5000
Ni1 Ni 0.0000 0.0000 0.1891
```

This record from the Alexandria database describes a relaxed structure of Ac2HoTmSe5. The functional is GGA-PBE.

Calculated values
Formation energy from raw total energies ... -1.492 eV per atom
DOS at the Fermi energy ... 0.5433 states/eV per atom

The structure in CIF format:
```
data_Ac2HoTmSe5
_space_group_name_H-M_alt 'P 4/m m m'
_space_group_IT_number 123
_space_group_name_Hall '-P 4 2'
_cell_length_a 5.106
_cell_length_b 5.106
_cell_length_c 10.855
_cell_angle_alpha 90.00
_cell_angle_beta 90.00
_cell_angle_gamma 90.00
loop_
_atom_site_label
_atom_site_type_symbol
_atom_site_fract_x
_atom_site_fract_y
_atom_site_fract_z
Ac1 Ac 0.000 0.000 0.211
Ho1 Ho 0.500 0.500 0.500
Tm1 Tm 0.500 0.500 0.000
Se1 Se 0.000 0.000 0.500
Se2 Se 0.000 0.500 0.000
Se3 Se 0.500 0.500 0.255
```

This record from the Alexandria database describes a relaxed structure of YSnAsBr2. The functional is GGA-PBE.

Calculated values
Formation energy from raw total energies ... -0.096 eV per atom
E above lowest polymorph ... 231 kJ/mol of formula units
DOS at the Fermi energy ... 0.5033 states/eV per atom

The structure in CIF format:
```
data_YSnAsBr2
_space_group_name_H-M_alt 'P 4/m m m'
_space_group_IT_number 123
_space_group_name_Hall '-P 4 2'
_cell_length_a 5.408
_cell_length_b 5.408
_cell_length_c 5.539
_cell_angle_alpha 90.00
_cell_angle_beta 90.00
_cell_angle_gamma 90.00
loop_
_atom_site_label
_atom_site_type_symbol
_atom_site_fract_x
_atom_site_fract_y
_atom_site_fract_z
Y1 Y 0.000 0.000 0.000
Sn1 Sn 0.500 0.500 0.500
As1 As 0.500 0.500 0.000
Br1 Br 0.000 0.500 0.500
```

This record from the Alexandria database describes a relaxed structure of Sm6HC2O3. The functional is GGA-PBE.

Calculated values
DFT total energy ... -7.019 eV/atom
DOS at the Fermi energy ... 0.2404 states/eV per atom

The structure in CIF format:
```
data_Sm6HC2O3
_space_group_name_H-M_alt 'C 1 2/m 1'
_space_group_IT_number 12
_cell_length_a 6.265
_cell_length_b 10.860
_cell_length_c 6.236
_cell_angle_alpha 90.00
_cell_angle_beta 109.65
_cell_angle_gamma 90.00
loop_
_space_group_symop_operation_xyz
'x,y,z'
'-x,-y,-z'
'-x,y,-z'
'x,-y,z'
'x+1/2,y+1/2,z'
'-x+1/2,-y+1/2,-z'
'-x+1/2,y+1/2,-z'
'x+1/2,-y+1/2,z'
loop_
_atom_site_label
_atom_site_type_symbol
_atom_site_fract_x
_atom_site_fract_y
_atom_site_fract_z
Sm1 Sm 0.233 0.000 0.257
Sm2 Sm 0.240 0.175 0.747
H1 H 0.000 0.500 0.000
C1 C 0.000 0.166 0.000
O1 O 0.000 0.000 0.500
O2 O 0.000 0.327 0.500
```

This record from the Alexandria database describes a relaxed structure of Sm3CdPt. The functional is GGA-PBE.

Calculated values
Calculated formation energy ... -0.580 eV per atom
DOS at the Fermi energy ... 0.8321 states/eV per atom

The structure in CIF format:
```
data_Sm3CdPt
_space_group_name_H-M_alt 'P -1'
_space_group_IT_number 2
_cell_length_a 5.916
_cell_length_b 5.938
_cell_length_c 8.971
_cell_angle_alpha 102.89
_cell_angle_beta 102.85
_cell_angle_gamma 108.95
loop_
_space_group_symop_operation_xyz
'x,y,z'
'-x,-y,-z'
loop_
_atom_site_label
_atom_site_type_symbol
_atom_site_fract_x
_atom_site_fract_y
_atom_site_fract_z
Sm1 Sm 0.084 0.203 0.288
Sm2 Sm 0.296 0.417 0.712
Sm3 Sm 0.297 0.796 0.093
Cd1 Cd 0.301 0.798 0.500
Pt1 Pt 0.249 0.249 0.000
```

This record from the Alexandria database describes a relaxed structure of MnFe2Hg. The functional is GGA-PBE.

Calculated values
Calculated formation energy ... 0.348 eV per atom
DOS at the Fermi energy ... 0.8771 states/eV per atom

The structure in CIF format:
```
data_MnFe2Hg
_space_group_name_H-M_alt 'P 4/m m m'
_space_group_IT_number 123
_space_group_name_Hall '-P 4 2'
_cell_length_a 3.056
_cell_length_b 3.056
_cell_length_c 5.881
_cell_angle_alpha 90.00
_cell_angle_beta 90.00
_cell_angle_gamma 90.00
loop_
_atom_site_label
_atom_site_type_symbol
_atom_site_fract_x
_atom_site_fract_y
_atom_site_fract_z
Mn1 Mn 0.000 0.000 0.000
Fe1 Fe 0.500 0.500 0.196
Hg1 Hg 0.000 0.000 0.500
```

This record from the Alexandria database describes a relaxed structure of Cs2MgTl3In4. The functional is GGA-PBE.

Calculated values
Calculated formation energy ... -0.055 eV per atom
DOS at the Fermi energy ... 0.5711 states/eV per atom

The structure in CIF format:
```
data_Cs2MgTl3In4
_space_group_name_H-M_alt 'P -4 m 2'
_space_group_IT_number 115
_cell_length_a 5.190
_cell_length_b 5.190
_cell_length_c 13.022
_cell_angle_alpha 90.00
_cell_angle_beta 90.00
_cell_angle_gamma 90.00
loop_
_space_group_symop_operation_xyz
'x,y,z'
'y,-x,-z'
'-x,-y,z'
'-y,x,-z'
'-x,y,z'
'-y,-x,-z'
'x,-y,z'
'y,x,-z'
loop_
_atom_site_label
_atom_site_type_symbol
_atom_site_fract_x
_atom_site_fract_y
_atom_site_fract_z
Cs1 Cs 0.000 0.500 0.249
Mg1 Mg 0.000 0.000 0.500
Tl1 Tl 0.000 0.500 0.864
Tl2 Tl 0.500 0.500 0.500
In1 In 0.000 0.000 0.000
In2 In 0.000 0.500 0.627
In3 In 0.500 0.500 0.000
```

This record from the Alexandria database describes a relaxed structure of Nd6HoIn5. The functional is GGA-PBE.

Calculated values
Calculated formation energy ... -0.394 eV per atom
DOS at the Fermi energy ... 0.9683 states/eV per atom

The structure in CIF format:
```
data_Nd6HoIn5
_space_group_name_H-M_alt 'I m m m'
_space_group_IT_number 71
_space_group_name_Hall '-I 2 2'
_cell_length_a 5.071
_cell_length_b 9.124
_cell_length_c 15.323
_cell_angle_alpha 90.00
_cell_angle_beta 90.00
_cell_angle_gamma 90.00
loop_
_atom_site_label
_atom_site_type_symbol
_atom_site_fract_x
_atom_site_fract_y
_atom_site_fract_z
Nd1 Nd 0.000 0.234 0.000
Nd2 Nd 0.000 0.261 0.329
Ho1 Ho 0.000 0.000 0.500
In1 In 0.000 0.000 0.172
In2 In 0.000 0.500 0.153
In3 In 0.000 0.500 0.500
```

This record from the Alexandria database describes a relaxed structure of ScCu2SnOs. The functional is GGA-PBE.

Calculated values
Calculated formation energy ... 1.756 eV per atom
DOS at the Fermi energy ... 1.1970 states/eV per atom

The structure in CIF format:
```
data_ScCu2SnOs
_space_group_name_H-M_alt 'P 4/m m m'
_space_group_IT_number 123
_space_group_name_Hall '-P 4 2'
_cell_length_a 4.563
_cell_length_b 4.563
_cell_length_c 5.269
_cell_angle_alpha 90.00
_cell_angle_beta 90.00
_cell_angle_gamma 90.00
loop_
_atom_site_label
_atom_site_type_symbol
_atom_site_fract_x
_atom_site_fract_y
_atom_site_fract_z
Sc1 Sc 0.000 0.000 0.000
Cu1 Cu 0.000 0.500 0.000
Sn1 Sn 0.000 0.000 0.500
Os1 Os 0.500 0.500 0.500
```

This record from the Alexandria database describes a relaxed structure of ThReSi3Rh. The functional is GGA-PBE.

Calculated values
Formation energy from raw total energies ... -0.366 eV per atom
DOS at the Fermi energy ... 0.5504 states/eV per atom

The structure in CIF format:
```
data_ThReSi3Rh
_space_group_name_H-M_alt 'C m c m'
_space_group_IT_number 63
_space_group_name_Hall '-C 2c 2'
_cell_length_a 6.286
_cell_length_b 12.472
_cell_length_c 5.951
_cell_angle_alpha 90.00
_cell_angle_beta 90.00
_cell_angle_gamma 90.00
loop_
_atom_site_label
_atom_site_type_symbol
_atom_site_fract_x
_atom_site_fract_y
_atom_site_fract_z
Th1 Th 0.000 0.219 0.250
Re1 Re 0.000 0.027 0.750
Si1 Si 0.000 0.211 0.750
Si2 Si 0.200 0.500 0.000
Rh1 Rh 0.000 0.390 0.750
```

What is the DOS at the Fermi energy in the fifth record?
0.8321 states/eV per atom

Which value of DOS at the Fermi energy does entry 10 give?
0.5504 states/eV per atom

Look up the DOS at the Fermi energy of the first one.
0.7491 states/eV per atom